1.
# Li3YNp3Se8

An optimized crystal structure of Li3YNp3Se8 (PBE, Alexandria via LeMat-Bulk).

a = 8.0064 Å, b = 8.0064 Å, c = 8.0064 Å
α = 61.72°, β = 61.72°, γ = 61.72°
Closest atoms and distances in Å follow each position.
Element x y z (fractional)
Li1 0.0000 0.5000 0.5000  6 Se 2.85-2.87
Li2 0.5000 0.0000 0.5000  6 Se 2.85-2.87
Li3 0.5000 0.5000 0.0000  6 Se 2.85-2.87
Y1 0.5000 0.5000 0.5000  6 Se 2.87
Np1 0.0000 0.0000 0.5000  6 Se 2.87-2.88
Np2 0.0000 0.5000 0.0000  6 Se 2.87-2.88
Np3 0.5000 0.0000 0.0000  6 Se 2.87-2.88
Se1 0.2502 0.2502 0.7501  1 Y 2.87, 2 Np 2.87, 2 Li 2.87
Se2 0.2502 0.7501 0.2502  1 Y 2.87, 2 Np 2.87, 2 Li 2.87
Se3 0.2499 0.7498 0.7498  1 Y 2.87, 2 Np 2.87, 2 Li 2.87
Se4 0.2513 0.2513 0.2513  3 Li 2.85, 3 Np 2.88
Se5 0.7487 0.7487 0.7487  3 Li 2.85, 3 Np 2.88
Se6 0.7501 0.2502 0.2502  1 Y 2.87, 2 Np 2.87, 2 Li 2.87
Se7 0.7498 0.2499 0.7498  1 Y 2.87, 2 Np 2.87, 2 Li 2.87
Se8 0.7498 0.7498 0.2499  1 Y 2.87, 2 Np 2.87, 2 Li 2.87

- uncorrected formation energy (eV per atom) = -1.301
- symmetry = R-3m, No. 166

=====

2.
# Li4Y3NpSe8

An optimized crystal structure of Li4Y3NpSe8 (PBE, Alexandria via LeMat-Bulk).

a = 8.0341 Å, b = 8.0341 Å, c = 8.0341 Å
α = 61.15°, β = 61.15°, γ = 61.15°
Closest atoms and distances in Å follow each position.
Element x y z (fractional)
Li1 0.0000 0.0000 0.0000  6 Se 2.83
Li2 0.0000 0.5000 0.5000  6 Se 2.85-2.86
Li3 0.5000 0.0000 0.5000  6 Se 2.85-2.86
Li4 0.5000 0.5000 0.0000  6 Se 2.85-2.86
Y1 0.0000 0.0000 0.5000  6 Se 2.87-2.88
Y2 0.0000 0.5000 0.0000  6 Se 2.87-2.88
Y3 0.5000 0.0000 0.0000  6 Se 2.87-2.88
Np1 0.5000 0.5000 0.5000  6 Se 2.90
Se1 0.2471 0.2471 0.7513  3 Li 2.83-2.86, 2 Y 2.87, 1 Np 2.90
Se2 0.2471 0.7513 0.2471  3 Li 2.83-2.86, 2 Y 2.87, 1 Np 2.90
Se3 0.2487 0.7529 0.7529  3 Li 2.83-2.86, 2 Y 2.87, 1 Np 2.90
Se4 0.2513 0.2513 0.2513  3 Li 2.85, 3 Y 2.88
Se5 0.7487 0.7487 0.7487  3 Li 2.85, 3 Y 2.88
Se6 0.7513 0.2471 0.2471  3 Li 2.83-2.86, 2 Y 2.87, 1 Np 2.90
Se7 0.7529 0.2487 0.7529  3 Li 2.83-2.86, 2 Y 2.87, 1 Np 2.90
Se8 0.7529 0.7529 0.2487  3 Li 2.83-2.86, 2 Y 2.87, 1 Np 2.90

- uncorrected formation energy (eV per atom) = -1.566
- symmetry = R-3m, No. 166

=====

3.
# LiY2NpSe4

An optimized crystal structure of LiY2NpSe4 (PBE, Alexandria via LeMat-Bulk).

a = 7.0585 Å, b = 4.0690 Å, c = 7.0611 Å
α = 90.00°, β = 109.61°, γ = 90.00°
Closest atoms and distances in Å follow each position.
Element x y z (fractional)
Li1 0.0000 0.0000 0.0000  6 Se 2.84
Y1 0.5000 0.0000 0.5000  6 Se 2.91-2.93
Y2 0.5000 0.5000 0.0000  6 Se 2.86-2.87
Np1 0.0000 0.5000 0.5000  6 Se 2.89-2.91
Se1 0.2458 0.5000 0.2422  2 Li 2.84, 3 Y 2.86-2.91, 1 Np 2.91
Se2 0.2476 0.0000 0.7554  1 Li 2.84, 3 Y 2.87-2.93, 2 Np 2.89
Se3 0.7524 0.0000 0.2446  1 Li 2.84, 3 Y 2.87-2.93, 2 Np 2.89
Se4 0.7542 0.5000 0.7578  2 Li 2.84, 3 Y 2.86-2.91, 1 Np 2.91

- uncorrected formation energy (eV per atom) = -1.546
- symmetry = P2/m, No. 10

=====

4.
# Li3YNp2Se6

An optimized crystal structure of Li3YNp2Se6 (PBE, Alexandria via LeMat-Bulk).

a = 7.0863 Å, b = 7.0863 Å, c = 6.9059 Å
α = 99.85°, β = 99.85°, γ = 119.99°
Closest atoms and distances in Å follow each position.
Element x y z (fractional)
Li1 0.0000 0.0000 0.0000  6 Se 2.84-2.85
Li2 0.3349 0.6651 0.0000  6 Se 2.83-2.86
Li3 0.6651 0.3349 0.0000  6 Se 2.83-2.86
Y1 0.5000 0.5000 0.5000  6 Se 2.88
Np1 0.1667 0.8333 0.5000  6 Se 2.89
Np2 0.8333 0.1667 0.5000  6 Se 2.89
Se1 0.0823 0.4147 0.2444  3 Li 2.84-2.86, 1 Y 2.88, 2 Np 2.89
Se2 0.2528 0.2528 0.7558  3 Li 2.83-2.85, 1 Y 2.88, 2 Np 2.89
Se3 0.4147 0.0823 0.2444  3 Li 2.84-2.86, 1 Y 2.88, 2 Np 2.89
Se4 0.5853 0.9177 0.7556  3 Li 2.84-2.86, 1 Y 2.88, 2 Np 2.89
Se5 0.7472 0.7472 0.2442  3 Li 2.83-2.85, 1 Y 2.88, 2 Np 2.89
Se6 0.9177 0.5853 0.7556  3 Li 2.84-2.86, 1 Y 2.88, 2 Np 2.89

- uncorrected formation energy (eV per atom) = -1.353
- symmetry = C2/m, No. 12

=====

5.
# Li4YNp3Se8

An optimized crystal structure of Li4YNp3Se8 (PBE, Alexandria via LeMat-Bulk).

a = 8.0249 Å, b = 8.0249 Å, c = 8.0249 Å
α = 61.39°, β = 61.39°, γ = 61.39°
Closest atoms and distances in Å follow each position.
Element x y z (fractional)
Li1 0.0000 0.0000 0.0000  6 Se 2.86
Li2 0.0000 0.5000 0.5000  6 Se 2.84-2.85
Li3 0.5000 0.0000 0.5000  6 Se 2.84-2.85
Li4 0.5000 0.5000 0.0000  6 Se 2.84-2.85
Y1 0.5000 0.5000 0.5000  6 Se 2.88
Np1 0.0000 0.0000 0.5000  6 Se 2.88-2.90
Np2 0.0000 0.5000 0.0000  6 Se 2.88-2.90
Np3 0.5000 0.0000 0.0000  6 Se 2.88-2.90
Se1 0.2489 0.2489 0.7461  3 Li 2.84-2.86, 1 Y 2.88, 2 Np 2.90
Se2 0.2489 0.7461 0.2489  3 Li 2.84-2.86, 1 Y 2.88, 2 Np 2.90
Se3 0.2514 0.2514 0.2514  3 Li 2.85, 3 Np 2.88
Se4 0.2539 0.7511 0.7511  3 Li 2.84-2.86, 1 Y 2.88, 2 Np 2.90
Se5 0.7461 0.2489 0.2489  3 Li 2.84-2.86, 1 Y 2.88, 2 Np 2.90
Se6 0.7486 0.7486 0.7486  3 Li 2.85, 3 Np 2.88
Se7 0.7511 0.2539 0.7511  3 Li 2.84-2.86, 1 Y 2.88, 2 Np 2.90
Se8 0.7511 0.7511 0.2539  3 Li 2.84-2.86, 1 Y 2.88, 2 Np 2.90

- uncorrected formation energy (eV per atom) = -1.314
- symmetry = R-3m, No. 166

=====

6.
# Li3Y2NpSe6

An optimized crystal structure of Li3Y2NpSe6 (PBE, Alexandria via LeMat-Bulk).

a = 7.0869 Å, b = 7.0869 Å, c = 6.9165 Å
α = 99.81°, β = 99.81°, γ = 119.97°
Closest atoms and distances in Å follow each position.
Element x y z (fractional)
Li1 0.0000 0.0000 0.0000  6 Se 2.83-2.86
Li2 0.3321 0.6679 0.0000  6 Se 2.82-2.87
Li3 0.6679 0.3321 0.0000  6 Se 2.82-2.87
Y1 0.1659 0.8341 0.5000  6 Se 2.87-2.88
Y2 0.8341 0.1659 0.5000  6 Se 2.87-2.88
Np1 0.5000 0.5000 0.5000  6 Se 2.90-2.91
Se1 0.0787 0.4152 0.2454  3 Li 2.82-2.86, 2 Y 2.88, 1 Np 2.90
Se2 0.2487 0.2487 0.7558  3 Li 2.83-2.87, 2 Y 2.87, 1 Np 2.91
Se3 0.4152 0.0787 0.2454  3 Li 2.82-2.86, 2 Y 2.88, 1 Np 2.90
Se4 0.5848 0.9213 0.7546  3 Li 2.82-2.86, 2 Y 2.88, 1 Np 2.90
Se5 0.7513 0.7513 0.2442  3 Li 2.83-2.87, 2 Y 2.87, 1 Np 2.91
Se6 0.9213 0.5848 0.7546  3 Li 2.82-2.86, 2 Y 2.88, 1 Np 2.90

- uncorrected formation energy (eV per atom) = -1.520
- symmetry = C2/m, No. 12

=====

7.
# Li3ZrNp3Se8

An optimized crystal structure of Li3ZrNp3Se8 (PBE, Alexandria via LeMat-Bulk).

a = 8.0083 Å, b = 8.0083 Å, c = 7.9953 Å
α = 118.88°, β = 118.88°, γ = 60.92°
Closest atoms and distances in Å follow each position.
Element x y z (fractional)
Li1 0.0000 0.0000 0.0000  6 Se 2.82
Li2 0.0000 0.5000 0.5000  6 Se 2.82-2.83
Li3 0.5000 0.0000 0.5000  6 Se 2.82-2.83
Zr1 0.0000 0.0000 0.5000  6 Se 2.75
Np1 0.0000 0.5000 0.0000  6 Se 2.88-2.90
Np2 0.5000 0.0000 0.0000  6 Se 2.88-2.90
Np3 0.5000 0.5000 0.5000  6 Se 2.89-2.90
Se1 0.2350 0.7591 0.7411  1 Zr 2.75, 2 Li 2.82-2.83, 2 Np 2.89-2.90
Se2 0.2407 0.2407 0.7360  1 Zr 2.75, 2 Li 2.82, 2 Np 2.88
Se3 0.2409 0.7650 0.2589  1 Zr 2.75, 2 Li 2.82-2.83, 2 Np 2.89-2.90
Se4 0.2463 0.2463 0.2524  3 Li 2.82, 3 Np 2.88-2.90
Se5 0.7537 0.7537 0.7476  3 Li 2.82, 3 Np 2.88-2.90
Se6 0.7591 0.2350 0.7411  1 Zr 2.75, 2 Li 2.82-2.83, 2 Np 2.89-2.90
Se7 0.7593 0.7593 0.2640  1 Zr 2.75, 2 Li 2.82, 2 Np 2.88
Se8 0.7650 0.2409 0.2589  1 Zr 2.75, 2 Li 2.82-2.83, 2 Np 2.89-2.90

- uncorrected formation energy (eV per atom) = -1.209
- symmetry = C2/m, No. 12

=====

8.
# Li3ZrNp2Se6

An optimized crystal structure of Li3ZrNp2Se6 (PBE, Alexandria via LeMat-Bulk).

a = 6.9105 Å, b = 6.9105 Å, c = 6.9275 Å
α = 99.56°, β = 99.56°, γ = 120.02°
Closest atoms and distances in Å follow each position.
Element x y z (fractional)
Li1 0.0000 0.0000 0.0000  6 Se 2.76-2.88
Li2 0.3353 0.6647 0.0000  6 Se 2.76-2.89
Li3 0.6647 0.3353 0.0000  6 Se 2.76-2.89
Zr1 0.5000 0.5000 0.5000  6 Se 2.77-2.78
Np1 0.1672 0.8328 0.5000  6 Se 2.88
Np2 0.8328 0.1672 0.5000  6 Se 2.88
Se1 0.0939 0.4144 0.2437  3 Li 2.76-2.89, 1 Zr 2.78, 2 Np 2.88
Se2 0.2634 0.2634 0.7534  3 Li 2.76-2.88, 1 Zr 2.77, 2 Np 2.88
Se3 0.4144 0.0939 0.2437  3 Li 2.76-2.89, 1 Zr 2.78, 2 Np 2.88
Se4 0.5856 0.9061 0.7563  3 Li 2.76-2.89, 1 Zr 2.78, 2 Np 2.88
Se5 0.7366 0.7366 0.2466  3 Li 2.76-2.88, 1 Zr 2.77, 2 Np 2.88
Se6 0.9061 0.5856 0.7563  3 Li 2.76-2.89, 1 Zr 2.78, 2 Np 2.88

- uncorrected formation energy (eV per atom) = -1.238
- symmetry = C2/m, No. 12

=====

9.
# Li4ZrNp3Se8

An optimized crystal structure of Li4ZrNp3Se8 (PBE, Alexandria via LeMat-Bulk).

a = 8.0048 Å, b = 8.0048 Å, c = 8.0048 Å
α = 60.12°, β = 60.12°, γ = 60.12°
Closest atoms and distances in Å follow each position.
Element x y z (fractional)
Li1 0.0000 0.0000 0.0000  6 Se 2.89
Li2 0.0000 0.5000 0.5000  6 Se 2.78-2.79
Li3 0.5000 0.0000 0.5000  6 Se 2.78-2.79
Li4 0.5000 0.5000 0.0000  6 Se 2.78-2.79
Zr1 0.5000 0.5000 0.5000  6 Se 2.78
Np1 0.0000 0.0000 0.5000  6 Se 2.87-2.88
Np2 0.0000 0.5000 0.0000  6 Se 2.87-2.88
Np3 0.5000 0.0000 0.0000  6 Se 2.87-2.88
Se1 0.2536 0.2536 0.2536  3 Li 2.79, 3 Np 2.87
Se2 0.2546 0.2546 0.7367  1 Zr 2.78, 3 Li 2.78-2.89, 2 Np 2.88
Se3 0.2546 0.7367 0.2546  1 Zr 2.78, 3 Li 2.78-2.89, 2 Np 2.88
Se4 0.2633 0.7454 0.7454  1 Zr 2.78, 3 Li 2.78-2.89, 2 Np 2.88
Se5 0.7367 0.2546 0.2546  1 Zr 2.78, 3 Li 2.78-2.89, 2 Np 2.88
Se6 0.7454 0.2633 0.7454  1 Zr 2.78, 3 Li 2.78-2.89, 2 Np 2.88
Se7 0.7454 0.7454 0.2633  1 Zr 2.78, 3 Li 2.78-2.89, 2 Np 2.88
Se8 0.7464 0.7464 0.7464  3 Li 2.79, 3 Np 2.87

- uncorrected formation energy (eV per atom) = -1.226
- symmetry = R-3m, No. 166

=====

10.
# Li2ZrNpSe4

An optimized crystal structure of Li2ZrNpSe4 (PBE, Alexandria via LeMat-Bulk).

a = 6.8119 Å, b = 3.9206 Å, c = 6.9500 Å
α = 90.00°, β = 108.90°, γ = 90.00°
Closest atoms and distances in Å follow each position.
Element x y z (fractional)
Li1 0.0000 0.0000 0.0000  6 Se 2.73-2.74
Li2 0.5000 0.5000 0.0000  6 Se 2.82-2.84
Zr1 0.0000 0.5000 0.5000  6 Se 2.76-2.78
Np1 0.5000 0.0000 0.5000  6 Se 2.87
Se1 0.2349 0.5000 0.2421  3 Li 2.74-2.84, 1 Zr 2.76, 2 Np 2.87
Se2 0.2398 0.0000 0.7518  3 Li 2.73-2.82, 2 Zr 2.78, 1 Np 2.87
Se3 0.7602 0.0000 0.2482  3 Li 2.73-2.82, 2 Zr 2.78, 1 Np 2.87
Se4 0.7651 0.5000 0.7579  3 Li 2.74-2.84, 1 Zr 2.76, 2 Np 2.87

- uncorrected formation energy (eV per atom) = -1.254
- symmetry = P2/m, No. 10

=====

Number 1: magnetization 0.733 μB per atom. Number 2: magnetization 0.250 μB per atom. Number 3: magnetization 0.572 μB per atom. Number 4: magnetization 0.667 μB per atom. Number 5: magnetization 0.750 μB per atom. Number 6: magnetization 0.333 μB per atom. Number 7: magnetization 0.269 μB per atom. Number 8: magnetization 0.750 μB per atom. Number 9: magnetization 0.813 μB per atom. Number 10: magnetization 0.583 μB per atom.